Computed, not measured: a relaxed structure of BeC at the PBE-GGA level of DFT.

a = 5.8251 Å, b = 2.8679 Å, c = 3.8093 Å
α = 90.00°, β = 105.10°, γ = 90.00°
With the nearest neighbours (Å) after each atom.
Space group Cm (No. 8)
One atom of each set of equivalent atoms:
Be 0.0000 0.0000 0.0000  4 C 1.78-1.98
Be 0.2177 0.0000 0.5343  5 C 1.81-1.92
C 0.2184 0.5000 0.2007  1 C 1.39
C 0.4028 0.5000 0.5172  1 C 1.39

Summary:
As for the energy above the most stable polymorph in this dataset: 0.23 eV per formula unit. The energy of formation is 435 meV/atom. As for the density of states at the Fermi level: 0.37 states/eV/f.u.